(i)
Here is a relaxed Mg2Bi2Rh crystal from the Alexandria database. Energies are from GGA-PBE.

Summary:
Density of states at the Fermi level, states/eV/f.u.: 3.67
Crystal system: tetragonal
Symmetry: P4/mbm (127)
Magnetization, μB per formula unit: 0.000
Theoretical density, g cm⁻³: 7.53

a b c (Å): 7.2025 7.2025 4.8385
angles (deg): 90.00 90.00 90.00
Element x y z (fractional)
1 Mg 0.1630 0.6630 0.5000
2 Mg 0.6630 0.8370 0.5000
3 Mg 0.8370 0.3370 0.5000
4 Mg 0.3370 0.1630 0.5000
5 Rh 0.0000 0.0000 0.0000
6 Rh 0.5000 0.5000 0.0000
7 Bi 0.3445 0.8445 0.0000
8 Bi 0.8445 0.6555 0.0000
9 Bi 0.6555 0.1555 0.0000
10 Bi 0.1555 0.3445 0.0000

(ii)
Here is a relaxed Mg2Bi2Rh crystal from the Alexandria database. Energies are from GGA-PBE.

Summary:
Density of states at the Fermi level, states/eV/f.u.: 3.45
Crystal system: tetragonal
Symmetry: P4/mbm (127)
Magnetization, μB per formula unit: 0.000
Theoretical density, g cm⁻³: 8.00

a b c (Å): 6.9580 6.9580 4.8819
angles (deg): 90.00 90.00 90.00
Element x y z (fractional)
1 Mg 0.3431 0.8431 0.0000
2 Mg 0.8431 0.6569 0.0000
3 Mg 0.6569 0.1569 0.0000
4 Mg 0.1569 0.3431 0.0000
5 Rh 0.0000 0.0000 0.0000
6 Rh 0.5000 0.5000 0.0000
7 Bi 0.1671 0.6671 0.5000
8 Bi 0.6671 0.8329 0.5000
9 Bi 0.8329 0.3329 0.5000
10 Bi 0.3329 0.1671 0.5000

The least stable of them is (ii).

(i)
Here is a relaxed Mg2Bi2Rh crystal from the Alexandria database. Energies are from GGA-PBE.

Summary:
Density of states at the Fermi level, states/eV/f.u.: 3.28
Crystal system: tetragonal
Symmetry: I4/mmm (139)
Magnetization, μB per formula unit: 0.000
Theoretical density, g cm⁻³: 6.95

a b c (Å): 4.2365 4.2365 8.1469
angles (deg): 74.93 74.93 90.00
Element x y z (fractional)
1 Mg 0.4117 0.4117 0.1765
2 Mg 0.5883 0.5883 0.8235
3 Rh 0.0000 0.0000 0.0000
4 Bi 0.7500 0.2500 0.5000
5 Bi 0.2500 0.7500 0.5000

(ii)
Here is a relaxed Mg2Bi2Rh crystal from the Alexandria database. Energies are from GGA-PBE.

Summary:
Density of states at the Fermi level, states/eV/f.u.: 2.39
Crystal system: tetragonal
Symmetry: I4_1/amd (141)
Magnetization, μB per formula unit: 0.000
Theoretical density, g cm⁻³: 7.54

a b c (Å): 4.5386 4.5386 12.5892
angles (deg): 100.38 100.38 90.00
Element x y z (fractional)
1 Mg 0.4413 0.9413 0.8826
2 Mg 0.6913 0.6913 0.3826
3 Mg 0.3087 0.3087 0.6174
4 Mg 0.0587 0.5587 0.1174
5 Bi 0.8198 0.8198 0.6397
6 Bi 0.5698 0.0698 0.1397
7 Bi 0.9302 0.4302 0.8603
8 Bi 0.1802 0.1802 0.3603
9 Rh 0.5000 0.5000 0.0000
10 Rh 0.2500 0.7500 0.5000

The least stable of them is (i).

(i)
Here is a relaxed MgBiRu crystal from the Alexandria database. Energies are from GGA-PBE.

Summary:
Density of states at the Fermi level, states/eV/f.u.: 2.46
Crystal system: monoclinic
Symmetry: P2_1/m (11)
Magnetization, μB per formula unit: 0.000
Theoretical density, g cm⁻³: 8.49

a b c (Å): 6.3307 6.2726 3.2934
angles (deg): 89.95 90.00 89.97
Element x y z (fractional)
1 Ru 0.6138 0.1064 0.5082
2 Ru 0.1136 0.1063 0.5082
3 Mg 0.3635 0.3489 0.0086
4 Mg 0.8636 0.8638 0.0098
5 Bi 0.3638 0.8413 0.0082
6 Bi 0.8636 0.3716 0.0068

(ii)
Here is a relaxed MgBiRu crystal from the Alexandria database. Energies are from GGA-PBE.

Summary:
Density of states at the Fermi level, states/eV/f.u.: 1.95
Crystal system: tetragonal
Symmetry: I4mm (107)
Magnetization, μB per formula unit: 0.000
Theoretical density, g cm⁻³: 8.56

a b c (Å): 3.2924 3.2924 6.4205
angles (deg): 104.86 104.86 90.00
Element x y z (fractional)
1 Ru 0.6651 0.6651 0.3302
2 Mg 0.0364 0.0364 0.0728
3 Bi 0.2985 0.2985 0.5970

The least stable of them is (ii).

(i)
Here is a relaxed MgBiRu crystal from the Alexandria database. Energies are from GGA-PBE.

Summary:
Density of states at the Fermi level, states/eV/f.u.: 0.09
Crystal system: monoclinic
Symmetry: Cm (8)
Magnetization, μB per formula unit: 0.000
Theoretical density, g cm⁻³: 9.06

a b c (Å): 7.5038 5.2772 5.2765
angles (deg): 141.74 97.77 73.37
Element x y z (fractional)
1 Ru 0.0736 0.1508 0.3552
2 Ru 0.7004 0.2519 0.6275
3 Mg 0.7735 0.9168 0.8893
4 Mg 0.3200 0.6050 0.6544
5 Bi 0.4582 0.7895 0.3321
6 Bi 0.9987 0.4859 0.0952

(ii)
Here is a relaxed MgBiRu crystal from the Alexandria database. Energies are from GGA-PBE.

Summary:
Density of states at the Fermi level, states/eV/f.u.: 1.52
Crystal system: orthorhombic
Symmetry: Fmmm (69)
Magnetization, μB per formula unit: 0.000
Theoretical density, g cm⁻³: 8.74

a b c (Å): 4.4528 7.1374 4.4521
angles (deg): 108.15 90.07 108.13
Element x y z (fractional)
1 Ru 0.6134 0.1064 0.8947
2 Ru 0.1137 0.1064 0.3945
3 Mg 0.7342 0.3474 0.5154
4 Mg 0.4937 0.8655 0.2743
5 Bi 0.9763 0.8314 0.7571
6 Bi 0.2506 0.3813 0.0319

(iii)
Here is a relaxed MgBiRu crystal from the Alexandria database. Energies are from GGA-PBE.

Summary:
Density of states at the Fermi level, states/eV/f.u.: 2.43
Crystal system: tetragonal
Symmetry: P4/nmm (129)
Magnetization, μB per formula unit: 0.000
Theoretical density, g cm⁻³: 8.68

a b c (Å): 4.4801 4.4801 6.3758
angles (deg): 90.00 90.00 90.00
Element x y z (fractional)
1 Ru 0.0000 0.0000 0.5000
2 Ru 0.5000 0.5000 0.5000
3 Mg 0.0000 0.5000 0.7510
4 Mg 0.5000 0.0000 0.2490
5 Bi 0.0000 0.5000 0.2351
6 Bi 0.5000 0.0000 0.7649

(iv)
Here is a relaxed MgBiRu crystal from the Alexandria database. Energies are from GGA-PBE.

Summary:
Density of states at the Fermi level, states/eV/f.u.: 1.43
Crystal system: monoclinic
Symmetry: Cm (8)
Magnetization, μB per formula unit: 0.000
Theoretical density, g cm⁻³: 8.24

a b c (Å): 13.0282 3.2708 3.2703
angles (deg): 90.01 104.71 89.75
Element x y z (fractional)
1 Ru 0.8905 0.9422 0.7864
2 Ru 0.3905 0.9417 0.2875
3 Mg 0.7655 0.4451 0.1598
4 Mg 0.2655 0.4448 0.6609
5 Bi 0.0161 0.4398 0.4139
6 Bi 0.5161 0.4391 0.9152

The least stable of them is (iv).

(i)
Here is a relaxed Mg3BiS crystal from the Alexandria database. Energies are from GGA-PBE.

Summary:
Density of states at the Fermi level, states/eV/f.u.: 3.58
Crystal system: cubic
Symmetry: Pm-3m (221)
Magnetization, μB per formula unit: 0.000
Theoretical density, g cm⁻³: 4.28

a b c (Å): 4.9553 4.9553 4.9553
angles (deg): 90.00 90.00 90.00
Element x y z (fractional)
1 Mg 0.0000 0.5000 0.0000
2 Mg 0.0000 0.0000 0.5000
3 Mg 0.5000 0.0000 0.0000
4 S 0.0000 0.0000 0.0000
5 Bi 0.5000 0.5000 0.5000

(ii)
Here is a relaxed Mg3BiS crystal from the Alexandria database. Energies are from GGA-PBE.

Summary:
Density of states at the Fermi level, states/eV/f.u.: 3.20
Crystal system: cubic
Symmetry: Pm-3m (221)
Magnetization, μB per formula unit: 0.000
Theoretical density, g cm⁻³: 3.18

a b c (Å): 5.4747 5.4747 5.4747
angles (deg): 90.00 90.00 90.00
Element x y z (fractional)
1 Mg 0.0000 0.5000 0.0000
2 Mg 0.0000 0.0000 0.5000
3 Mg 0.5000 0.0000 0.0000
4 S 0.5000 0.5000 0.5000
5 Bi 0.0000 0.0000 0.0000

The least stable of them is (ii).

(i)
Here is a relaxed MgBiS3 crystal from the Alexandria database. Energies are from GGA-PBE.

Summary:
Density of states at the Fermi level, states/eV/f.u.: 2.62
Crystal system: cubic
Symmetry: Pm-3m (221)
Magnetization, μB per formula unit: 0.000
Theoretical density, g cm⁻³: 5.03

a b c (Å): 4.7748 4.7748 4.7748
angles (deg): 90.00 90.00 90.00
Element x y z (fractional)
1 Mg 0.0000 0.0000 0.0000
2 S 0.0000 0.5000 0.0000
3 S 0.0000 0.0000 0.5000
4 S 0.5000 0.0000 0.0000
5 Bi 0.5000 0.5000 0.5000

(ii)
Here is a relaxed MgBiS3 crystal from the Alexandria database. Energies are from GGA-PBE.

Summary:
Density of states at the Fermi level, states/eV/f.u.: 4.21
Crystal system: cubic
Symmetry: Pm-3m (221)
Magnetization, μB per formula unit: 0.000
Theoretical density, g cm⁻³: 3.96

a b c (Å): 5.1676 5.1676 5.1676
angles (deg): 90.00 90.00 90.00
Element x y z (fractional)
1 Mg 0.5000 0.5000 0.5000
2 S 0.0000 0.5000 0.0000
3 S 0.0000 0.0000 0.5000
4 S 0.5000 0.0000 0.0000
5 Bi 0.0000 0.0000 0.0000

The least stable of them is (ii).